This record from the Alexandria database describes a relaxed RbMn2Br6 crystal. The functional is PBE-GGA.

Cell lengths 6.8030, 6.8030, 10.3456 Å; angles 114.94, 114.94, 50.76 degrees
Sites, in units of the cell vectors:
Rb (0.0000, 0.0000, 0.0000)
Mn (0.1795, 0.1795, 0.5760)
Mn (0.8205, 0.8205, 0.4240)
Br (0.0202, 0.0202, 0.6699)
Br (0.3073, 0.3073, 0.4425)
Br (0.3431, 0.3431, 0.8296)
Br (0.6569, 0.6569, 0.1704)
Br (0.6927, 0.6927, 0.5575)
Br (0.9798, 0.9798, 0.3301)

Summary:
DOS(E_F) = 2.48 states/eV per cell
Uncorrected formation energy = -0.931 eV/atom
Excess energy over the best structure of this formula in the dataset = 0 meV per atom



This record from the Alexandria database describes a relaxed NaTl2TeO6 crystal. The functional is PBE-GGA.

Cell lengths 6.1843, 6.1843, 6.1843 Å; angles 55.18, 55.18, 55.18 degrees
Sites, in units of the cell vectors:
Na (0.0000, 0.0000, 0.0000)
Tl (0.2147, 0.2147, 0.2147)
Tl (0.7334, 0.7334, 0.7334)
Te (0.5210, 0.5210, 0.5210)
O (0.1882, 0.4059, 0.7633)
O (0.3261, 0.8716, 0.5999)
O (0.4059, 0.7633, 0.1882)
O (0.5999, 0.3261, 0.8716)
O (0.7633, 0.1882, 0.4059)
O (0.8716, 0.5999, 0.3261)

Summary:
DOS(E_F) = 2.43 states/eV per cell
Uncorrected formation energy = -0.991 eV/atom



This record from the Alexandria database describes a relaxed GdDyPd crystal. The functional is PBE-GGA.

Cell lengths 4.9075, 4.9075, 4.9075 Å; angles 60.00, 60.00, 60.00 degrees
Sites, in units of the cell vectors:
Gd (0.0000, 0.0000, 0.0000)
Dy (0.5000, 0.5000, 0.5000)
Pd (0.2500, 0.2500, 0.2500)

Summary:
Energy relative to the elements = -0.46 eV/atom
DOS(E_F) = 3.39 states/eV per cell
Excess energy over the best structure of this formula in the dataset = 86 meV per atom